# V2Re2Ge, optimized geometry, DFT PBE
data_V2Re2Ge
_chemical_formula_sum 'V2 Re2 Ge1'
_space_group_name_H-M_alt 'P 1'
_space_group_IT_number 1
_space_group_name_Hall 'P 1'
_cell_length_a 3.945
_cell_length_b 3.945
_cell_length_c 6.146
_cell_angle_alpha 71.28
_cell_angle_beta 71.28
_cell_angle_gamma 90.00
loop_
_atom_site_label
_atom_site_fract_x
_atom_site_fract_y
_atom_site_fract_z
V1 0.750 0.250 0.500
Ge1 0.000 0.000 0.000
Re1 0.384 0.384 0.232
Re2 0.616 0.616 0.768
V2 0.250 0.750 0.500
# - calculated volume (Å³/cell) = 85
# - distance to the lowest polymorph of the same formula (kJ/mol of formula units) = 99
# - symmetry = I4/mmm (139)
# - DFT formation energy (meV/atom) = 509
# - final energy (eV/f.u.) = -45.21

# VReGe, optimized geometry, DFT PBE
data_VReGe
_chemical_formula_sum 'V1 Re1 Ge1'
_space_group_name_H-M_alt 'P 1'
_space_group_IT_number 1
_space_group_name_Hall 'P 1'
_cell_length_a 2.700
_cell_length_b 4.353
_cell_length_c 4.353
_cell_angle_alpha 120.00
_cell_angle_beta 90.00
_cell_angle_gamma 90.00
loop_
_atom_site_label
_atom_site_fract_x
_atom_site_fract_y
_atom_site_fract_z
V1 0.726 0.333 0.667
Ge1 0.156 0.667 0.333
Re1 0.118 0.000 0.000
# - calculated volume (Å³/cell) = 44
# - distance to the lowest polymorph of the same formula (kJ/mol of formula units) = 24
# - symmetry = P3m1 (156)
# - DFT formation energy (meV/atom) = 10
# - final energy (eV/f.u.) = -26.15